Record 1
{"formula": "TbURe2", "functional": "GGA-PBE", "state": "optimized geometry", "delta_e_f_ev_per_atom": 0.42, "space_group": "R-3m", "cell": [[3.384, 0.000, 0.000], [1.692, 2.931, 0.000], [1.692, 0.977, 8.367]], "species": ["Re", "Re", "Tb", "U"], "frac_coords": [[0.738, 0.738, 0.785], [0.262, 0.262, 0.215], [0.500, 0.500, 0.500], [0.000, 0.000, 0.000]]}



Record 2
{"formula": "PrSm3Te", "functional": "GGA-PBE", "state": "optimized geometry", "space_group": "Pnma", "formation_energy_uncorrected_ev_per_atom": -0.48, "cell": [[-0.154, -0.963, 3.849], [10.655, -3.089, -0.346], [4.133, 13.849, 3.630]], "species": ["Pr", "Pr", "Pr", "Pr", "Sm", "Sm", "Sm", "Sm", "Sm", "Sm", "Sm", "Sm", "Sm", "Sm", "Sm", "Sm", "Te", "Te", "Te", "Te"], "frac_coords": [[0.750, 0.833, 0.997], [0.250, 0.667, 0.497], [0.750, 0.333, 0.503], [0.250, 0.167, 0.003], [0.250, 0.564, 0.084], [0.750, 0.436, 0.916], [0.250, 0.064, 0.416], [0.750, 0.936, 0.584], [0.250, 0.428, 0.705], [0.750, 0.072, 0.205], [0.250, 0.928, 0.795], [0.750, 0.685, 0.707], [0.250, 0.315, 0.293], [0.750, 0.185, 0.793], [0.750, 0.572, 0.295], [0.250, 0.815, 0.207], [0.250, 0.154, 0.625], [0.250, 0.654, 0.875], [0.750, 0.346, 0.125], [0.750, 0.846, 0.375]]}



Record 3
{"formula": "CaNd4Y6", "functional": "GGA-PBE", "state": "optimized geometry", "delta_e_f_ev_per_atom": 0.39, "space_group": "I-42m", "cell": [[-8.056, -0.275, -3.146], [5.796, -6.419, -0.262], [2.227, -0.408, 8.351]], "species": ["Ca", "Nd", "Nd", "Nd", "Nd", "Y", "Y", "Y", "Y", "Y", "Y"], "frac_coords": [[0.000, 0.000, 0.000], [0.000, 0.566, 0.055], [0.489, 0.434, 0.434], [0.000, 0.055, 0.566], [0.511, 0.945, 0.945], [0.000, 0.738, 0.421], [0.000, 0.421, 0.738], [0.317, 0.579, 0.579], [0.500, 0.500, 0.000], [0.683, 0.262, 0.262], [0.500, 0.000, 0.500]]}



Record 4
{"formula": "CaPmLuSc", "functional": "GGA-PBE", "state": "optimized geometry", "delta_e_f_ev_per_atom": 0.18, "space_group": "F-43m", "cell": [[5.622, 0.000, 0.000], [2.811, 4.869, 0.000], [2.811, 1.623, 4.590]], "species": ["Sc", "Ca", "Lu", "Pm"], "frac_coords": [[0.000, 0.000, 0.000], [0.250, 0.250, 0.250], [0.750, 0.750, 0.750], [0.500, 0.500, 0.500]]}



Record 5
{"formula": "Dy3Zn9Cd2", "functional": "GGA-PBE", "state": "optimized geometry", "delta_e_f_ev_per_atom": -0.30, "space_group": "Immm", "cell": [[4.326, 0.000, 1.162], [1.527, 7.623, 2.948], [0.093, 0.660, 8.288]], "species": ["Dy", "Dy", "Dy", "Zn", "Zn", "Zn", "Zn", "Zn", "Zn", "Zn", "Zn", "Zn", "Cd", "Cd"], "frac_coords": [[0.000, 0.000, 0.000], [0.711, 0.289, 0.289], [0.289, 0.711, 0.711], [0.000, 0.500, 0.500], [0.663, 0.975, 0.698], [0.337, 0.025, 0.302], [0.663, 0.698, 0.975], [0.337, 0.302, 0.025], [0.857, 0.863, 0.423], [0.143, 0.137, 0.577], [0.857, 0.423, 0.863], [0.143, 0.577, 0.137], [0.500, 0.314, 0.686], [0.500, 0.686, 0.314]]}



Record 6
{"formula": "Na3TcAs", "functional": "GGA-PBE", "state": "optimized geometry", "de_polymorph_mev_per_atom": 434, "delta_e_f_ev_per_atom": 1.32, "space_group": "Pm-3m", "cell": [[-0.545, -5.419, 1.380], [3.353, -1.426, -4.276], [4.475, 0.409, 3.372]], "species": ["Na", "Na", "Na", "As", "Tc"], "frac_coords": [[0.000, 0.500, 0.000], [0.000, 0.000, 0.500], [0.500, 0.000, 0.000], [0.500, 0.500, 0.500], [0.000, 0.000, 0.000]]}



Record 7
{"formula": "Na2ZrCo", "functional": "GGA-PBE", "state": "optimized geometry", "de_polymorph_mev_per_atom": 0, "delta_e_f_ev_per_atom": 0.54, "space_group": "I-42d", "cell": [[3.724, 0.000, 0.000], [0.000, 3.724, 0.000], [1.862, 1.862, 11.713]], "species": ["Na", "Na", "Na", "Na", "Co", "Co", "Zr", "Zr"], "frac_coords": [[0.606, 0.125, 0.250], [0.144, 0.625, 0.250], [0.375, 0.394, 0.750], [0.875, 0.856, 0.750], [0.500, 0.500, 0.000], [0.250, 0.750, 0.500], [0.000, 0.000, 0.000], [0.750, 0.250, 0.500]]}



Record 8
{"formula": "ScMnP", "functional": "GGA-PBE", "state": "optimized geometry", "delta_e_f_ev_per_atom": 0.13, "space_group": "F-43m", "cell": [[0.000, 3.090, 3.090], [3.090, 0.000, 3.090], [3.090, 3.090, 0.000]], "species": ["Sc", "Mn", "P"], "frac_coords": [[0.750, 0.750, 0.750], [0.000, 0.000, 0.000], [0.500, 0.500, 0.500]]}



Record 9
{"formula": "La2Pr2Nd4Mg", "functional": "GGA-PBE", "state": "optimized geometry", "delta_e_f_ev_per_atom": 0.07, "space_group": "P-1", "cell": [[7.534, 0.693, 1.551], [-0.833, 8.967, -0.159], [-2.181, -4.632, 4.207]], "species": ["La", "La", "Pr", "Pr", "Nd", "Nd", "Nd", "Nd", "Mg"], "frac_coords": [[0.782, 0.375, 0.188], [0.218, 0.625, 0.812], [0.108, 0.794, 0.423], [0.892, 0.206, 0.577], [0.690, 0.669, 0.878], [0.594, 0.831, 0.509], [0.310, 0.331, 0.122], [0.406, 0.169, 0.491], [0.000, 0.000, 0.000]]}



Record 10
{"formula": "NaCuP3", "functional": "GGA-PBE", "state": "optimized geometry", "de_polymorph_mev_per_atom": 0, "delta_e_f_ev_per_atom": 0.56, "space_group": "Pm-3m", "cell": [[-0.095, -3.158, 3.359], [2.390, -2.907, -2.665], [3.942, 1.686, 1.697]], "species": ["P", "P", "P", "Cu", "Na"], "frac_coords": [[0.000, 0.500, 0.000], [0.000, 0.000, 0.500], [0.500, 0.000, 0.000], [0.000, 0.000, 0.000], [0.500, 0.500, 0.500]]}



Record 11
{"formula": "Cd2SnPd3", "functional": "GGA-PBE", "state": "optimized geometry", "de_polymorph_mev_per_atom": 54, "delta_e_f_ev_per_atom": -0.39, "space_group": "C2/c", "cell": [[5.565, 0.000, 0.000], [0.000, 5.387, 0.101], [-2.782, -1.217, 7.184]], "species": ["Cd", "Cd", "Cd", "Cd", "Sn", "Sn", "Pd", "Pd", "Pd", "Pd", "Pd", "Pd"], "frac_coords": [[0.785, 0.582, 0.347], [0.562, 0.082, 0.347], [0.438, 0.918, 0.653], [0.215, 0.418, 0.653], [0.848, 0.750, 0.000], [0.152, 0.250, 0.000], [0.643, 0.250, 0.000], [0.357, 0.750, 0.000], [0.047, 0.071, 0.321], [0.727, 0.429, 0.679], [0.273, 0.571, 0.321], [0.953, 0.929, 0.679]]}



Record 12
{"formula": "ScBr2", "functional": "GGA-PBE", "state": "optimized geometry", "space_group": "P6_3/mmc", "formation_energy_uncorrected_ev_per_atom": -1.54, "cell": [[3.158, 0.226, -1.906], [-3.224, -0.246, -1.789], [-1.093, 14.759, -0.058]], "species": ["Sc", "Sc", "Br", "Br", "Br", "Br"], "frac_coords": [[0.000, 0.000, 0.250], [0.000, 0.000, 0.750], [0.667, 0.333, 0.368], [0.333, 0.667, 0.868], [0.333, 0.667, 0.632], [0.667, 0.333, 0.132]]}



Record 13
{"formula": "VIn2PtC", "functional": "GGA-PBE", "state": "optimized geometry", "delta_e_f_ev_per_atom": 1.02, "space_group": "P4/mmm", "cell": [[5.304, 0.000, 0.000], [0.000, 3.725, 0.000], [0.000, 0.000, 5.304]], "species": ["C", "V", "Pt", "In", "In"], "frac_coords": [[0.000, 0.500, 0.000], [0.000, 0.000, 0.000], [0.500, 0.500, 0.500], [0.000, 0.000, 0.500], [0.500, 0.000, 0.000]]}



Record 14
{"formula": "SbMo2Os", "functional": "GGA-PBE", "state": "optimized geometry", "space_group": "Cmmm", "formation_energy_uncorrected_ev_per_atom": 0.39, "cell": [[-0.676, -5.777, -1.705], [3.576, 1.015, 3.350], [-1.218, -1.929, 1.887]], "species": ["Mo", "Mo", "Os", "Sb"], "frac_coords": [[0.000, 0.000, 0.000], [0.500, 0.000, 0.500], [0.000, 0.500, 0.500], [0.500, 0.500, 0.000]]}



Record 15
{"formula": "Sc4TlZn", "functional": "GGA-PBE", "state": "optimized geometry", "de_polymorph_mev_per_atom": 228, "delta_e_f_ev_per_atom": 0.03, "space_group": "R-3m", "cell": [[-2.801, -1.720, 3.434], [0.010, -4.653, 0.968], [4.752, -1.031, 6.650]], "species": ["Sc", "Sc", "Sc", "Sc", "Tl", "Zn"], "frac_coords": [[0.632, 0.632, 0.105], [0.368, 0.368, 0.895], [0.118, 0.118, 0.645], [0.882, 0.882, 0.355], [0.500, 0.500, 0.500], [0.000, 0.000, 0.000]]}



Record 16
{"formula": "SrIn2PdPt", "functional": "GGA-PBE", "state": "optimized geometry", "delta_e_f_ev_per_atom": -0.26, "space_group": "P4/mmm", "cell": [[-0.922, -0.689, 4.921], [-4.401, -2.944, -1.237], [2.821, -4.193, -0.058]], "species": ["Sr", "Pd", "Pt", "In", "In"], "frac_coords": [[0.500, 0.500, 0.500], [0.000, 0.500, 0.000], [0.000, 0.000, 0.000], [0.000, 0.000, 0.500], [0.500, 0.000, 0.000]]}



Record 17
{"formula": "LaDy2Er3", "functional": "GGA-PBE", "state": "optimized geometry", "de_polymorph_mev_per_atom": 6, "delta_e_f_ev_per_atom": 0.02, "space_group": "Cmcm", "cell": [[-2.064, -0.336, -2.909], [-5.050, -4.847, 6.351], [-5.641, 9.661, 2.887]], "species": ["La", "La", "Dy", "Dy", "Dy", "Dy", "Er", "Er", "Er", "Er", "Er", "Er"], "frac_coords": [[0.221, 0.443, 0.250], [0.779, 0.557, 0.750], [0.000, 0.000, 0.000], [0.000, 0.000, 0.500], [0.554, 0.108, 0.250], [0.446, 0.892, 0.750], [0.665, 0.331, 0.995], [0.108, 0.216, 0.750], [0.665, 0.331, 0.505], [0.892, 0.784, 0.250], [0.335, 0.669, 0.005], [0.335, 0.669, 0.495]]}



Record 18
{"formula": "SmPuZn4", "functional": "GGA-PBE", "state": "optimized geometry", "de_polymorph_mev_per_atom": 61, "delta_e_f_ev_per_atom": -0.15, "space_group": "I-4m2", "cell": [[3.950, 0.000, -1.220], [-0.377, 3.932, -1.220], [0.373, 0.411, 8.215]], "species": ["Sm", "Pu", "Zn", "Zn", "Zn", "Zn"], "frac_coords": [[0.250, 0.750, 0.500], [0.000, 0.000, 0.000], [0.668, 0.168, 0.337], [0.582, 0.582, 0.163], [0.832, 0.332, 0.663], [0.418, 0.418, 0.837]]}



Record 19
{"formula": "Mg14CrBi", "functional": "GGA-PBE", "state": "optimized geometry", "delta_e_f_ev_per_atom": 0.05, "space_group": "P-6m2", "cell": [[3.204, -5.549, 0.000], [3.204, 5.549, 0.000], [0.000, 0.000, 10.250]], "species": ["Mg", "Mg", "Mg", "Mg", "Mg", "Mg", "Mg", "Mg", "Mg", "Mg", "Mg", "Mg", "Mg", "Mg", "Cr", "Bi"], "frac_coords": [[0.998, 0.499, 0.000], [0.002, 0.501, 0.500], [0.501, 0.002, 0.000], [0.499, 0.998, 0.500], [0.501, 0.499, 0.000], [0.499, 0.501, 0.500], [0.166, 0.834, 0.241], [0.166, 0.834, 0.759], [0.166, 0.333, 0.241], [0.166, 0.333, 0.759], [0.667, 0.834, 0.241], [0.667, 0.834, 0.759], [0.667, 0.333, 0.253], [0.667, 0.333, 0.747], [0.000, 0.000, 0.000], [0.000, 0.000, 0.500]]}



Record 20
{"formula": "Pm2ScSi3Pt4", "functional": "GGA-PBE", "state": "optimized geometry", "space_group": "P-4m2", "formation_energy_uncorrected_ev_per_atom": -1.11, "cell": [[-1.176, 4.031, -0.654], [-2.478, -1.246, -3.220], [-7.982, -1.254, 6.629]], "species": ["Pm", "Pm", "Sc", "Si", "Si", "Si", "Pt", "Pt", "Pt", "Pt"], "frac_coords": [[0.500, 0.000, 0.236], [0.000, 0.500, 0.764], [0.500, 0.500, 0.500], [0.000, 0.000, 0.500], [0.500, 0.000, 0.876], [0.000, 0.500, 0.124], [0.500, 0.500, 0.000], [0.000, 0.000, 0.000], [0.500, 0.000, 0.647], [0.000, 0.500, 0.353]]}